Material: Nb2CuS4
Method: DFT, PBE-GGA
State: optimized geometry

Geometry as POSCAR:
```
Nb2CuS4
1.0
1.806 -3.128 0.000
1.806 3.128 0.000
0.000 0.000 12.862
Nb Cu S
2 1 4
direct
0.333 0.667 0.278 Nb
0.667 0.333 0.722 Nb
0.000 0.000 0.000 Cu
0.333 0.667 0.100 S
0.667 0.333 0.900 S
0.333 0.667 0.628 S
0.667 0.333 0.372 S
```

* symmetry: No. 164
* total magnetic moment: 0.0 Bohr magnetons per cell
* formation energy (no corrections): -483 meV per atom
* offset from the most stable computed form: 3.13 eV per formula unit
* density of states at the Fermi level: 0.504 states/eV per atom
* theoretical density: 4.315 Mg/m³

***

Material: Al4ZnAu
Method: DFT, PBE-GGA
State: optimized geometry

Geometry as POSCAR:
```
Al4ZnAu
1.0
0.000 3.764 3.764
3.764 0.000 3.764
3.764 3.764 0.000
Al Zn Au
4 1 1
direct
0.876 0.375 0.375 Al
0.375 0.375 0.876 Al
0.375 0.876 0.375 Al
0.375 0.375 0.375 Al
0.000 0.000 0.000 Zn
0.750 0.750 0.750 Au
```

* symmetry: No. 216
* total magnetic moment: 0.0 Bohr magnetons per cell
* formation energy from the elements: 193 meV per atom
* density of states at the Fermi level: 0.744 states/eV per atom
* theoretical density: 5.764 Mg/m³